Computed, not measured: a relaxed structure of Ta3FeRu4 at the PBE level of DFT.

Cell and atoms, written as POSCAR:
```
Ta3FeRu4
1.0
3.365 0.000 0.000
0.000 4.260 0.000
0.000 0.000 8.583
Ru Ta Fe
4 3 1
direct
0.000 0.000 0.500
0.000 0.500 0.749
0.000 0.000 0.000
0.000 0.500 0.251
0.500 0.000 0.771
0.500 0.500 0.500
0.500 0.000 0.229
0.500 0.500 0.000
```

Energy relative to the elements: -0.271 eV/atom
Total magnetization: 0.37 μB per atom
DOS(E_F): 7.0 states/eV per cell

Computed, not measured: a relaxed structure of AcTiTl2 at the PBE level of DFT.

Cell and atoms, written as POSCAR:
```
AcTiTl2
1.0
-1.965 -2.478 -3.626
-1.568 -4.490 0.726
-6.537 -0.215 0.496
Tl Ac Ti
2 1 1
direct
0.280 0.280 0.160
0.720 0.720 0.840
0.500 0.500 0.500
0.000 0.000 0.000
```

Energy relative to the elements: 0.012 eV/atom
Total magnetization: 0.37 μB per atom
DOS(E_F): 4.7 states/eV per cell

Computed, not measured: a relaxed structure of La6Ag5Ir at the PBE level of DFT.

Cell and atoms, written as POSCAR:
```
La6Ag5Ir
1.0
-0.899 5.235 -0.215
-4.053 -0.433 6.423
6.202 3.936 4.179
Ag La Ir
5 6 1
direct
0.684 0.000 0.632
0.671 0.500 0.657
0.000 0.500 0.000
0.316 0.000 0.368
0.329 0.500 0.343
0.154 0.240 0.692
0.846 0.760 0.308
0.500 0.771 0.000
0.846 0.240 0.308
0.500 0.229 0.000
0.154 0.760 0.692
0.000 0.000 0.000
```

Energy relative to the elements: -0.350 eV/atom
Total magnetization: 0.00 μB per atom
DOS(E_F): 11.9 states/eV per cell

Computed, not measured: a relaxed structure of SrSbPb2S4 at the PBE level of DFT.

Cell and atoms, written as POSCAR:
```
SrSbPb2S4
1.0
-2.914 -7.902 0.383
2.385 -0.542 8.068
-5.089 6.028 -2.264
Sb Pb S Sr
2 4 8 2
direct
0.000 0.000 0.000
0.500 0.500 0.500
0.500 0.000 0.500
0.500 0.000 0.000
0.500 0.500 0.000
0.000 0.000 0.500
0.750 0.749 0.517
0.760 0.243 0.001
0.751 0.750 0.983
0.743 0.260 0.501
0.250 0.251 0.483
0.240 0.757 0.999
0.249 0.250 0.017
0.257 0.740 0.499
0.000 0.500 0.500
0.000 0.500 0.000
```

Uncorrected formation energy: -0.7481 eV/atom
Total magnetization: 0.00 μB per atom
DOS(E_F): 5.3 states/eV per cell

Computed, not measured: a relaxed structure of Nd3Al3Si at the PBE level of DFT.

Cell and atoms, written as POSCAR:
```
Nd3Al3Si
1.0
4.145 0.000 -0.904
-0.216 4.258 -0.989
0.012 0.076 10.007
Nd Al Si
3 3 1
direct
0.686 0.186 0.372
0.997 0.997 0.993
0.317 0.817 0.635
0.862 0.362 0.724
0.139 0.639 0.278
0.564 0.564 0.127
0.435 0.435 0.870
```

Uncorrected formation energy: -0.5085 eV/atom
Total magnetization: 0.02 μB per atom
DOS(E_F): 5.9 states/eV per cell

Computed, not measured: a relaxed structure of TbPrSm2 at the PBE level of DFT.

Cell and atoms, written as POSCAR:
```
TbPrSm2
1.0
5.782 0.000 0.000
2.891 5.007 0.000
2.891 1.669 4.721
Pr Sm Tb
1 2 1
direct
0.500 0.500 0.500
0.250 0.250 0.250
0.750 0.750 0.750
0.000 0.000 0.000
```

Energy relative to the elements: 0.146 eV/atom
Total magnetization: 0.18 μB per atom
DOS(E_F): 10.7 states/eV per cell

Computed, not measured: a relaxed structure of Sr3SmY2Se6 at the PBE level of DFT.

Cell and atoms, written as POSCAR:
```
Sr3SmY2Se6
1.0
-6.116 3.929 0.844
-0.137 -6.172 -3.930
0.526 -2.934 6.868
Sm Y Se Sr
1 2 6 3
direct
0.000 0.000 0.000
0.667 0.333 0.000
0.333 0.667 0.000
0.922 0.584 0.767
0.261 0.261 0.768
0.739 0.739 0.232
0.584 0.922 0.767
0.078 0.416 0.233
0.416 0.078 0.233
0.500 0.500 0.500
0.835 0.165 0.500
0.165 0.835 0.500
```

Uncorrected formation energy: -1.8987 eV/atom
Total magnetization: 0.00 μB per atom
DOS(E_F): 4.7 states/eV per cell

Computed, not measured: a relaxed structure of Sr2IrO6 at the PBE level of DFT.

Cell and atoms, written as POSCAR:
```
Sr2IrO6
1.0
-0.199 2.158 -5.109
4.526 -2.890 -1.397
-4.896 -6.444 -2.531
O Sr Ir
12 4 2
direct
0.000 0.000 0.227
0.167 0.705 0.000
0.500 0.500 0.273
0.205 0.667 0.500
0.295 0.167 0.000
0.667 0.795 0.500
0.795 0.333 0.500
0.833 0.295 0.000
0.500 0.500 0.727
0.000 0.000 0.773
0.333 0.205 0.500
0.705 0.833 0.000
0.000 0.500 0.750
0.500 0.000 0.750
0.500 0.000 0.250
0.000 0.500 0.250
0.500 0.500 0.500
0.000 0.000 0.000
```

Uncorrected formation energy: -1.5389 eV/atom
Total magnetization: 0.05 μB per atom
DOS(E_F): 9.8 states/eV per cell

Computed, not measured: a relaxed structure of La2TbPm6Er at the PBE level of DFT.

Cell and atoms, written as POSCAR:
```
La2TbPm6Er
1.0
-8.583 -1.387 5.067
1.294 -8.616 -1.770
4.413 3.563 6.847
Tb Pm La Er
2 12 4 2
direct
0.250 0.987 0.013
0.750 0.013 0.987
0.621 0.500 0.705
0.379 0.500 0.295
0.944 0.877 0.258
0.879 0.295 0.500
0.311 0.981 0.419
0.444 0.258 0.877
0.189 0.581 0.019
0.056 0.123 0.742
0.556 0.742 0.123
0.689 0.019 0.581
0.811 0.419 0.981
0.121 0.705 0.500
0.541 0.194 0.292
0.459 0.806 0.708
0.959 0.708 0.806
0.041 0.292 0.194
0.750 0.595 0.405
0.250 0.405 0.595
```

Energy relative to the elements: 0.114 eV/atom
Total magnetization: 0.00 μB per atom
DOS(E_F): 30.2 states/eV per cell

Computed, not measured: a relaxed structure of LaPmBeAl at the PBE level of DFT.

Cell and atoms, written as POSCAR:
```
LaPmBeAl
1.0
-3.522 -1.105 3.644
-0.824 -4.926 1.401
1.532 -1.659 4.670
Pm La Be Al
1 1 1 1
direct
0.750 0.750 0.750
0.250 0.250 0.250
0.000 0.000 0.000
0.500 0.500 0.500
```

Energy relative to the elements: -0.041 eV/atom
Total magnetization: 0.00 μB per atom
DOS(E_F): 4.4 states/eV per cell

Computed, not measured: a relaxed structure of CaPrHgPb at the PBE level of DFT.

Cell and atoms, written as POSCAR:
```
CaPrHgPb
1.0
5.508 0.000 0.000
2.754 4.770 0.000
2.754 1.590 4.497
Pr Ca Hg Pb
1 1 1 1
direct
0.000 0.000 0.000
0.500 0.500 0.500
0.750 0.750 0.750
0.250 0.250 0.250
```

Energy relative to the elements: -0.531 eV/atom
Total magnetization: 0.00 μB per atom
DOS(E_F): 3.3 states/eV per cell

Computed, not measured: a relaxed structure of MgNbAu at the PBE level of DFT.

Cell and atoms, written as POSCAR:
```
MgNbAu
1.0
7.441 0.063 0.000
0.992 4.230 0.000
0.000 0.000 3.461
Au Nb Mg
2 2 2
direct
0.281 0.563 0.491
0.936 0.819 0.991
0.599 0.447 0.991
0.618 0.937 0.491
0.275 0.066 0.991
0.942 0.316 0.491
```

Energy relative to the elements: -0.229 eV/atom
Total magnetization: 0.00 μB per atom
DOS(E_F): 3.8 states/eV per cell

Computed, not measured: a relaxed structure of Nd6PRu2I3 at the PBE level of DFT.

Cell and atoms, written as POSCAR:
```
Nd6PRu2I3
1.0
7.315 0.002 -0.004
-3.654 6.337 -0.004
-1.225 -2.121 7.996
I Nd Ru P
3 6 2 1
direct
0.165 0.835 0.500
0.500 0.500 0.500
0.835 0.165 0.500
0.061 0.404 0.186
0.718 0.718 0.186
0.596 0.939 0.814
0.282 0.282 0.814
0.939 0.596 0.814
0.404 0.061 0.186
0.333 0.667 0.000
0.667 0.333 0.000
0.000 0.000 0.000
```

Uncorrected formation energy: -0.8621 eV/atom
Total magnetization: 0.00 μB per atom
DOS(E_F): 10.9 states/eV per cell

Computed, not measured: a relaxed structure of Na2MgMnAu at the PBE level of DFT.

Cell and atoms, written as POSCAR:
```
Na2MgMnAu
1.0
-2.252 -1.704 4.794
4.662 -0.758 1.920
0.071 5.232 1.893
Mg Au Mn Na
1 1 1 2
direct
0.000 0.000 0.000
0.500 0.500 0.500
0.000 0.500 0.000
0.500 0.000 0.000
0.000 0.000 0.500
```

Energy relative to the elements: 0.803 eV/atom
Total magnetization: 0.78 μB per atom
DOS(E_F): 3.5 states/eV per cell

Computed, not measured: a relaxed structure of ReNi4Mo at the PBE level of DFT.

Cell and atoms, written as POSCAR:
```
ReNi4Mo
1.0
4.679 0.000 0.000
2.340 4.053 0.000
2.340 1.351 3.821
Re Ni Mo
1 4 1
direct
0.250 0.250 0.250
0.625 0.625 0.625
0.125 0.625 0.625
0.625 0.125 0.625
0.625 0.625 0.125
0.000 0.000 0.000
```

Energy relative to the elements: -0.003 eV/atom
Total magnetization: 0.14 μB per atom
DOS(E_F): 6.9 states/eV per cell

Computed, not measured: a relaxed structure of Tb3Pr2Nd6Sc at the PBE level of DFT.

Cell and atoms, written as POSCAR:
```
Tb3Pr2Nd6Sc
1.0
-0.710 -2.775 -5.592
-2.198 -2.780 5.188
-9.355 7.368 -1.288
Nd Pr Tb Sc
6 2 3 1
direct
0.412 0.083 0.251
0.246 0.246 0.749
0.083 0.412 0.251
0.588 0.917 0.749
0.754 0.754 0.251
0.917 0.588 0.749
0.333 0.667 0.000
0.667 0.333 0.000
0.834 0.166 0.500
0.166 0.834 0.500
0.500 0.500 0.500
0.000 0.000 0.000
```

Energy relative to the elements: 0.025 eV/atom
Total magnetization: 0.00 μB per atom
DOS(E_F): 16.2 states/eV per cell

Computed, not measured: a relaxed structure of Ho4ZnPd2 at the PBE level of DFT.

Cell and atoms, written as POSCAR:
```
Ho4ZnPd2
1.0
4.919 0.000 0.000
0.000 4.919 0.000
0.000 0.000 7.010
Zn Ho Pd
1 4 2
direct
0.500 0.500 0.000
0.500 0.000 0.252
0.000 0.500 0.252
0.500 0.000 0.748
0.000 0.500 0.748
0.000 0.000 0.000
0.500 0.500 0.500
```

Energy relative to the elements: -0.556 eV/atom
Total magnetization: 0.00 μB per atom
DOS(E_F): 5.2 states/eV per cell

Computed, not measured: a relaxed structure of TlRe2IBr at the PBE level of DFT.

Cell and atoms, written as POSCAR:
```
TlRe2IBr
1.0
-3.910 0.310 3.939
-0.477 -5.559 -0.037
3.922 -0.363 3.922
I Re Br Tl
1 2 1 1
direct
0.500 0.500 0.500
0.000 0.000 0.500
0.500 0.000 0.000
0.000 0.500 0.000
0.000 0.000 0.000
```

Uncorrected formation energy: 2.2384 eV/atom
Total magnetization: 1.82 μB per atom
DOS(E_F): 1.5 states/eV per cell

Computed, not measured: a relaxed structure of Sm2GdIn at the PBE level of DFT.

Cell and atoms, written as POSCAR:
```
Sm2GdIn
1.0
-3.329 -3.374 -1.234
2.545 -3.416 2.474
-2.565 1.040 4.075
Gd In Sm
1 1 2
direct
0.500 0.500 0.500
0.500 0.000 0.000
0.000 0.500 0.000
0.000 0.000 0.500
```

Energy relative to the elements: -0.288 eV/atom
Total magnetization: 1.99 μB per atom
DOS(E_F): 4.4 states/eV per cell

Computed, not measured: a relaxed structure of CePm12Er6 at the PBE level of DFT.

Cell and atoms, written as POSCAR:
```
CePm12Er6
1.0
9.002 -0.617 -3.072
-4.106 8.034 -3.072
-0.407 -0.617 9.503
Pm Er Ce
12 6 1
direct
0.895 0.843 0.261
0.105 0.157 0.739
0.157 0.739 0.105
0.057 0.580 0.372
0.261 0.895 0.843
0.843 0.261 0.895
0.420 0.628 0.943
0.739 0.105 0.157
0.372 0.057 0.580
0.943 0.420 0.628
0.580 0.372 0.057
0.628 0.943 0.420
0.316 0.471 0.213
0.684 0.529 0.787
0.529 0.787 0.684
0.471 0.213 0.316
0.787 0.684 0.529
0.213 0.316 0.471
0.000 0.000 0.000
```

Energy relative to the elements: 0.030 eV/atom
Total magnetization: 0.07 μB per atom
DOS(E_F): 29.8 states/eV per cell

Computed, not measured: a relaxed structure of NaLuMgAu at the PBE level of DFT.

Cell and atoms, written as POSCAR:
```
NaLuMgAu
1.0
-4.927 0.049 -0.612
-2.872 -2.977 2.745
-2.920 1.926 3.524
Na Mg Au Lu
1 1 1 1
direct
0.000 0.000 0.000
0.250 0.250 0.250
0.500 0.500 0.500
0.750 0.750 0.750
```

Energy relative to the elements: -0.258 eV/atom
Total magnetization: 0.05 μB per atom
DOS(E_F): 5.4 states/eV per cell

Computed, not measured: a relaxed structure of SnWI2 at the PBE level of DFT.

Cell and atoms, written as POSCAR:
```
SnWI2
1.0
0.000 3.649 3.649
3.649 0.000 3.649
3.649 3.649 0.000
I Sn W
2 1 1
direct
0.750 0.750 0.750
0.250 0.250 0.250
0.000 0.000 0.000
0.500 0.500 0.500
```

Uncorrected formation energy: 1.2290 eV/atom
Total magnetization: 0.29 μB per atom
DOS(E_F): 2.7 states/eV per cell

Computed, not measured: a relaxed structure of CaMg2Re at the PBE level of DFT.

Cell and atoms, written as POSCAR:
```
CaMg2Re
1.0
-0.540 -5.196 -1.294
4.640 -2.653 0.634
-2.807 3.287 3.206
Ca Mg Re
1 2 1
direct
0.750 0.250 0.500
0.250 0.750 0.500
0.000 0.000 0.000
0.500 0.500 0.000
```

Energy relative to the elements: 0.568 eV/atom
Total magnetization: 0.00 μB per atom
DOS(E_F): 2.4 states/eV per cell

Computed, not measured: a relaxed structure of Nd8RhAu2 at the PBE level of DFT.

Cell and atoms, written as POSCAR:
```
Nd8RhAu2
1.0
6.136 -0.488 -1.394
-2.799 7.357 -4.722
-0.400 -1.702 9.011
Nd Au Rh
8 2 1
direct
0.983 0.787 0.176
0.074 0.245 0.245
0.332 0.636 0.861
0.651 0.172 0.421
0.983 0.176 0.787
0.332 0.861 0.636
0.651 0.421 0.172
0.781 0.706 0.706
0.454 0.276 0.724
0.454 0.724 0.276
0.305 0.030 0.030
```

Energy relative to the elements: -0.344 eV/atom
Total magnetization: 0.00 μB per atom
DOS(E_F): 13.2 states/eV per cell